(1)
# AlGa2 PBE optimized geometry
# - crystal system = monoclinic
# - size of the total moment (μB per formula unit) = 0.00
data_AlGa2
_chemical_formula_sum 'Al4 Ga8'
_cell_length_a 8.015
_cell_length_b 4.272
_cell_length_c 7.245
_cell_angle_alpha 90.00
_cell_angle_beta 98.47
_cell_angle_gamma 90.00
_space_group_name_H-M_alt 'C 1 2/m 1'
_space_group_IT_number 12
loop_
_space_group_symop_operation_xyz
'x,y,z'
'-x,-y,-z'
'-x,y,-z'
'x,-y,z'
'x+1/2,y+1/2,z'
'-x+1/2,-y+1/2,-z'
'-x+1/2,y+1/2,-z'
'x+1/2,-y+1/2,z'
loop_
_atom_site_label
_atom_site_fract_x
_atom_site_fract_y
_atom_site_fract_z
Al1 0.113 0.000 0.221
Ga1 0.150 0.500 0.456
Ga2 0.206 0.000 0.879



(2)
# ThScTi PBE optimized geometry
# - crystal system = hexagonal
# - size of the total moment (μB per formula unit) = 0.00
# - offset from the most stable computed form (eV/f.u.) = 0.09
data_ThScTi
_chemical_formula_sum 'Th2 Sc2 Ti2'
_cell_length_a 3.2881
_cell_length_b 3.2881
_cell_length_c 15.6891
_cell_angle_alpha 90.00
_cell_angle_beta 90.00
_cell_angle_gamma 120.00
_space_group_name_H-M_alt 'P -6 m 2'
_space_group_IT_number 187
_space_group_name_Hall 'P -6 2'
loop_
_atom_site_label
_atom_site_fract_x
_atom_site_fract_y
_atom_site_fract_z
Th1 0.0000 0.0000 0.1832
Sc1 0.0000 0.0000 0.5000
Sc2 0.6667 0.3333 0.0000
Ti1 0.6667 0.3333 0.3488



(3)
# CaZn6Ge2 PBE optimized geometry
# - crystal system = tetragonal
# - size of the total moment (μB per formula unit) = 0.00
data_CaZn6Ge2
_chemical_formula_sum 'Ca1 Zn6 Ge2'
_cell_length_a 4.115
_cell_length_b 4.115
_cell_length_c 9.365
_cell_angle_alpha 90.00
_cell_angle_beta 90.00
_cell_angle_gamma 90.00
_space_group_name_H-M_alt 'P 4/m m m'
_space_group_IT_number 123
_space_group_name_Hall '-P 4 2'
loop_
_atom_site_label
_atom_site_fract_x
_atom_site_fract_y
_atom_site_fract_z
Ca1 0.000 0.000 0.000
Zn1 0.000 0.000 0.500
Zn2 0.000 0.500 0.308
Zn3 0.500 0.500 0.500
Ge1 0.500 0.500 0.138



(4)
# Sb2SeBr PBE optimized geometry
# - crystal system = tetragonal
# - raw formation energy (meV per atom) = 204
# - size of the total moment (μB per formula unit) = 0.00
# - offset from the most stable computed form (eV/f.u.) = 1.37
data_Sb2SeBr
_chemical_formula_sum 'Sb4 Se2 Br2'
_cell_length_a 5.221
_cell_length_b 5.221
_cell_length_c 7.374
_cell_angle_alpha 90.00
_cell_angle_beta 90.00
_cell_angle_gamma 90.00
_space_group_name_H-M_alt 'I 4/m m m'
_space_group_IT_number 139
_space_group_name_Hall '-I 4 2'
loop_
_atom_site_label
_atom_site_fract_x
_atom_site_fract_y
_atom_site_fract_z
Sb1 0.000 0.500 0.250
Se1 0.000 0.000 0.000
Br1 0.000 0.000 0.500



(5)
# Pr4MgAg5 PBE optimized geometry
# - crystal system = tetragonal
# - size of the total moment (μB per formula unit) = 0.01
data_Pr4MgAg5
_chemical_formula_sum 'Pr4 Mg1 Ag5'
_cell_length_a 3.659
_cell_length_b 3.659
_cell_length_c 19.006
_cell_angle_alpha 90.00
_cell_angle_beta 90.00
_cell_angle_gamma 90.00
_space_group_name_H-M_alt 'P 4/m m m'
_space_group_IT_number 123
_space_group_name_Hall '-P 4 2'
loop_
_atom_site_label
_atom_site_fract_x
_atom_site_fract_y
_atom_site_fract_z
Pr1 0.000 0.000 0.104
Pr2 0.000 0.000 0.313
Mg1 0.000 0.000 0.500
Ag1 0.500 0.500 0.000
Ag2 0.500 0.500 0.208
Ag3 0.500 0.500 0.420



(6)
# YAg3O PBE optimized geometry
# - crystal system = cubic
# - raw formation energy (meV per atom) = 1489
# - size of the total moment (μB per formula unit) = 0.00
# - offset from the most stable computed form (eV/f.u.) = 7.26
data_YAg3O
_chemical_formula_sum 'Y1 Ag3 O1'
_cell_length_a 5.584
_cell_length_b 5.584
_cell_length_c 5.584
_cell_angle_alpha 90.00
_cell_angle_beta 90.00
_cell_angle_gamma 90.00
_space_group_name_H-M_alt 'P m -3 m'
_space_group_IT_number 221
_space_group_name_Hall '-P 4 2 3'
loop_
_atom_site_label
_atom_site_fract_x
_atom_site_fract_y
_atom_site_fract_z
Y1 0.000 0.000 0.000
Ag1 0.000 0.000 0.500
O1 0.500 0.500 0.500



(7)
# AcNdY6Er2 PBE optimized geometry
# - crystal system = monoclinic
# - size of the total moment (μB per formula unit) = 0.00
data_AcNdY6Er2
_chemical_formula_sum 'Ac4 Nd4 Y24 Er8'
_cell_length_a 9.321
_cell_length_b 15.259
_cell_length_c 9.606
_cell_angle_alpha 90.00
_cell_angle_beta 95.33
_cell_angle_gamma 90.00
_space_group_name_H-M_alt 'C 1 2/c 1'
_space_group_IT_number 15
loop_
_space_group_symop_operation_xyz
'x,y,z'
'-x,-y,-z'
'-x,y,-z+1/2'
'x,-y,z+1/2'
'x+1/2,y+1/2,z'
'-x+1/2,-y+1/2,-z'
'-x+1/2,y+1/2,-z+1/2'
'x+1/2,-y+1/2,z+1/2'
loop_
_atom_site_label
_atom_site_fract_x
_atom_site_fract_y
_atom_site_fract_z
Ac1 0.000 0.033 0.250
Nd1 0.000 0.412 0.750
Y1 0.063 0.184 0.942
Y2 0.098 0.389 0.114
Y3 0.215 0.230 0.322
Er1 0.246 0.445 0.449



(8)
# AcTi2NiP4 PBE optimized geometry
# - crystal system = orthorhombic
# - size of the total moment (μB per formula unit) = 0.00
data_AcTi2NiP4
_chemical_formula_sum 'Ac4 Ti8 Ni4 P16'
_cell_length_a 3.747
_cell_length_b 12.713
_cell_length_c 12.351
_cell_angle_alpha 90.00
_cell_angle_beta 90.00
_cell_angle_gamma 90.00
_space_group_name_H-M_alt 'C m c m'
_space_group_IT_number 63
_space_group_name_Hall '-C 2c 2'
loop_
_atom_site_label
_atom_site_fract_x
_atom_site_fract_y
_atom_site_fract_z
Ac1 0.000 0.118 0.250
Ti1 0.000 0.376 0.060
Ni1 0.000 0.153 0.750
P1 0.000 0.000 0.000
P2 0.000 0.253 0.604
P3 0.000 0.437 0.250



(9)
# Li4Ac2TlAu3 PBE optimized geometry
# - crystal system = tetragonal
# - size of the total moment (μB per formula unit) = 0.00
data_Li4Ac2TlAu3
_chemical_formula_sum 'Li4 Ac2 Tl1 Au3'
_cell_length_a 4.446
_cell_length_b 4.446
_cell_length_c 11.547
_cell_angle_alpha 90.00
_cell_angle_beta 90.00
_cell_angle_gamma 90.00
_space_group_name_H-M_alt 'P -4 m 2'
_space_group_IT_number 115
loop_
_space_group_symop_operation_xyz
'x,y,z'
'y,-x,-z'
'-x,-y,z'
'-y,x,-z'
'-x,y,z'
'-y,-x,-z'
'x,-y,z'
'y,x,-z'
loop_
_atom_site_label
_atom_site_fract_x
_atom_site_fract_y
_atom_site_fract_z
Li1 0.000 0.000 0.000
Li2 0.000 0.500 0.369
Li3 0.500 0.500 0.000
Ac1 0.000 0.500 0.751
Tl1 0.500 0.500 0.500
Au1 0.000 0.000 0.500
Au2 0.000 0.500 0.141



(10)
# TaH2Pb2O6 PBE optimized geometry
# - crystal system = trigonal
# - size of the total moment (μB per formula unit) = 0.87
data_TaH2Pb2O6
_chemical_formula_sum 'Ta3 H6 Pb6 O18'
_cell_length_a 5.2647
_cell_length_b 5.2647
_cell_length_c 15.9301
_cell_angle_alpha 90.00
_cell_angle_beta 90.00
_cell_angle_gamma 120.00
_space_group_name_H-M_alt 'R -3 m'
_space_group_IT_number 166
_space_group_name_Hall '-R 3 2"'
loop_
_atom_site_label
_atom_site_fract_x
_atom_site_fract_y
_atom_site_fract_z
Ta1 0.0000 0.0000 0.0000
H1 0.0000 0.0000 0.4118
Pb1 0.0000 0.0000 0.2221
O1 0.0166 0.5083 0.2570



(11)
# U2AlSn PBE optimized geometry
# - crystal system = tetragonal
# - size of the total moment (μB per formula unit) = 3.19
data_U2AlSn
_chemical_formula_sum 'U2 Al1 Sn1'
_cell_length_a 4.051
_cell_length_b 4.051
_cell_length_c 5.071
_cell_angle_alpha 90.00
_cell_angle_beta 90.00
_cell_angle_gamma 90.00
_space_group_name_H-M_alt 'P 4/m m m'
_space_group_IT_number 123
_space_group_name_Hall '-P 4 2'
loop_
_atom_site_label
_atom_site_fract_x
_atom_site_fract_y
_atom_site_fract_z
U1 0.000 0.500 0.000
Al1 0.000 0.000 0.500
Sn1 0.500 0.500 0.500



(12)
# NdZnIn2 PBE optimized geometry
# - crystal system = trigonal
# - size of the total moment (μB per formula unit) = 0.00
data_NdZnIn2
_chemical_formula_sum 'Nd3 Zn3 In6'
_cell_length_a 4.5887
_cell_length_b 4.5887
_cell_length_c 16.6848
_cell_angle_alpha 90.00
_cell_angle_beta 90.00
_cell_angle_gamma 120.00
_space_group_name_H-M_alt 'R -3 m'
_space_group_IT_number 166
_space_group_name_Hall '-R 3 2"'
loop_
_atom_site_label
_atom_site_fract_x
_atom_site_fract_y
_atom_site_fract_z
Nd1 0.0000 0.0000 0.0000
Zn1 0.0000 0.0000 0.5000
In1 0.0000 0.0000 0.2224



(13)
# Sm6Bi5Sb PBE optimized geometry
# - crystal system = monoclinic
# - raw formation energy (meV per atom) = -967
# - size of the total moment (μB per formula unit) = 0.00
data_Sm6Bi5Sb
_chemical_formula_sum 'Sm12 Bi10 Sb2'
_cell_length_a 7.871
_cell_length_b 13.633
_cell_length_c 7.870
_cell_angle_alpha 90.00
_cell_angle_beta 109.49
_cell_angle_gamma 90.00
_space_group_name_H-M_alt 'C 1 2/m 1'
_space_group_IT_number 12
loop_
_space_group_symop_operation_xyz
'x,y,z'
'-x,-y,-z'
'-x,y,-z'
'x,-y,z'
'x+1/2,y+1/2,z'
'-x+1/2,-y+1/2,-z'
'-x+1/2,y+1/2,-z'
'x+1/2,-y+1/2,z'
loop_
_atom_site_label
_atom_site_fract_x
_atom_site_fract_y
_atom_site_fract_z
Sm1 0.247 0.000 0.251
Sm2 0.247 0.165 0.748
Bi1 0.000 0.168 0.000
Bi2 0.000 0.334 0.500
Bi3 0.000 0.500 0.000
Sb1 0.000 0.000 0.500



Respective raw total energy values: -0.1178; -0.2576; -0.0826; -0.1156; -0.1368; -0.0921; -0.2040; -0.2527; -0.1213; -0.2316; -0.2795; -0.1164; -0.1943 Ha/atom.